First-principles (SCAN) data for ZnCdIn2 at its PBEsol-relaxed geometry, as listed in Alexandria via LeMat-Bulk.

Summary:
- offset from the most stable computed form (meV per atom) = 43

Cell: 9.676 3.266 5.582 Å, 90.00 103.07 90.00°
Space group Cm (No. 8)
One atom of each set of equivalent atoms:
Zn 0.000 0.000 0.000 (multiplicity 2)
Cd 0.266 0.000 0.769 (multiplicity 2)
In 0.007 0.500 0.514 (multiplicity 2)
In 0.243 0.500 0.230 (multiplicity 2)